Entry from the Alexandria database: crystalline PrHo5Tm5 at its relaxed geometry (GGA-PBE).

The structure in POSCAR format:
```
PrHo5Tm5
1.0
-2.261 -1.781 6.318
-4.144 -3.154 -7.889
3.051 -5.717 4.935
Tm Ho Pr
5 5 1
direct
0.318 0.714 0.646 Tm
0.682 0.286 0.354 Tm
0.333 0.679 0.209 Tm
0.000 0.000 0.500 Tm
0.667 0.321 0.791 Tm
0.145 0.359 0.841 Ho
0.256 0.344 0.325 Ho
0.500 0.000 0.000 Ho
0.744 0.656 0.675 Ho
0.855 0.641 0.159 Ho
0.000 0.000 0.000 Pr
```

## Properties
formation energy	151.5	kJ/mol of formula units
spin magnetization	0.00	μB per formula unit
space-group type	P-1, No. 2
energy above the most stable polymorph in this dataset	0	meV per atom
DOS(E_F)	1.455	states/eV per atom